1.
A relaxed TlAsSe2O8 crystal, computed with PBE.

- Electronic total energy: -5.18 eV/atom
- Density of states at the Fermi level: 0.0 states/eV/cell
- Formation energy (no corrections): -708 meV/atom
- SG: No. 12

Lattice parameters (Å, degrees): 5.212 5.212 8.587 86.20 86.20 65.73
Element x y z (fractional)
1 O 0.727 0.241 0.816
2 O 0.759 0.273 0.184
3 O 0.241 0.727 0.816
4 O 0.273 0.759 0.184
5 O 0.305 0.305 0.626
6 O 0.695 0.695 0.374
7 O 0.238 0.238 0.954
8 O 0.762 0.762 0.046
9 Se 0.371 0.371 0.800
10 Se 0.629 0.629 0.200
11 Tl 0.000 0.000 0.500
12 As 0.000 0.000 0.000

***

2.
A relaxed Ca2OsW crystal, computed with PBE.

- Electronic total energy: -6.30 eV/atom
- Density of states at the Fermi level: 1.9 states/eV/cell
- Energy of formation from the pure elements: 0.742 eV per atom
- SG: No. 12

Lattice parameters (Å, degrees): 5.975 5.975 4.513 67.91 67.91 32.26
Element x y z (fractional)
1 W 0.250 0.250 0.250
2 Ca 0.470 0.470 0.530
3 Ca 0.030 0.030 0.970
4 Os 0.750 0.750 0.750

***

3.
A relaxed Ac2Pr8Tm3 crystal, computed with PBE.

- Electronic total energy: -4.42 eV/atom
- Density of states at the Fermi level: 20.1 states/eV/cell
- Energy of formation from the pure elements: 0.182 eV per atom
- SG: No. 12

Lattice parameters (Å, degrees): 6.290 9.080 9.080 83.24 73.00 73.00
Element x y z (fractional)
1 Tm 0.000 0.739 0.261
2 Tm 0.000 0.261 0.739
3 Tm 0.500 0.000 0.000
4 Pr 0.083 0.862 0.862
5 Pr 0.345 0.911 0.403
6 Pr 0.655 0.597 0.089
7 Pr 0.345 0.403 0.911
8 Pr 0.244 0.580 0.580
9 Pr 0.917 0.138 0.138
10 Pr 0.756 0.420 0.420
11 Pr 0.655 0.089 0.597
12 Ac 0.335 0.305 0.305
13 Ac 0.665 0.695 0.695

***

4.
A relaxed Tb6In5Ag crystal, computed with PBE.

- Electronic total energy: -4.14 eV/atom
- Density of states at the Fermi level: 10.4 states/eV/cell
- Energy of formation from the pure elements: -0.447 eV per atom
- SG: No. 10

Lattice parameters (Å, degrees): 5.334 7.466 8.469 90.00 70.93 90.00
Element x y z (fractional)
1 In 0.331 0.000 0.328
2 In 0.000 0.500 0.000
3 In 0.672 0.500 0.665
4 In 0.328 0.500 0.335
5 In 0.669 0.000 0.672
6 Tb 0.168 0.753 0.671
7 Tb 0.168 0.247 0.671
8 Tb 0.500 0.755 0.000
9 Tb 0.832 0.247 0.329
10 Tb 0.500 0.245 0.000
11 Tb 0.832 0.753 0.329
12 Ag 0.000 0.000 0.000

***

5.
A relaxed Tb4Dy5Ho2 crystal, computed with PBE.

- Electronic total energy: -4.55 eV/atom
- Energy relative to the lowest polymorph listed for this composition: 0 meV per atom
- Density of states at the Fermi level: 16.7 states/eV/cell
- Energy of formation from the pure elements: 0.060 eV per atom
- SG: No. 12

Lattice parameters (Å, degrees): 3.635 9.885 12.611 123.97 81.74 111.58
Element x y z (fractional)
1 Tb 0.326 0.353 0.055
2 Tb 0.674 0.647 0.945
3 Tb 0.754 0.426 0.343
4 Tb 0.246 0.574 0.657
5 Dy 0.500 0.000 0.000
6 Dy 0.421 0.172 0.503
7 Dy 0.079 0.961 0.763
8 Dy 0.579 0.828 0.497
9 Dy 0.921 0.039 0.237
10 Ho 0.109 0.722 0.228
11 Ho 0.891 0.278 0.772

***

6.
A relaxed Th2AuSe crystal, computed with PBE.

- Electronic total energy: -6.41 eV/atom
- Energy relative to the lowest polymorph listed for this composition: 6 meV per atom
- Density of states at the Fermi level: 2.8 states/eV/cell
- Formation energy (no corrections): -1006 meV/atom
- SG: No. 164

Lattice parameters (Å, degrees): 4.000 4.001 7.913 90.00 90.00 60.00
Element x y z (fractional)
1 Au 0.000 0.000 0.500
2 Th 0.333 0.333 0.754
3 Th 0.667 0.667 0.246
4 Se 0.000 0.000 0.000

***

7.
A relaxed TbPm3Sn12 crystal, computed with PBE.

- Electronic total energy: -4.66 eV/atom
- Density of states at the Fermi level: 9.3 states/eV/cell
- Energy of formation from the pure elements: -0.480 eV per atom
- SG: No. 123

Lattice parameters (Å, degrees): 4.769 4.769 18.811 90.00 90.00 90.00
Element x y z (fractional)
1 Sn 0.500 0.000 0.877
2 Sn 0.500 0.500 0.751
3 Sn 0.500 0.000 0.374
4 Sn 0.500 0.500 0.000
5 Sn 0.500 0.000 0.123
6 Sn 0.500 0.000 0.626
7 Sn 0.000 0.500 0.877
8 Sn 0.000 0.500 0.123
9 Sn 0.500 0.500 0.500
10 Sn 0.000 0.500 0.626
11 Sn 0.500 0.500 0.249
12 Sn 0.000 0.500 0.374
13 Pm 0.000 0.000 0.500
14 Pm 0.000 0.000 0.249
15 Pm 0.000 0.000 0.751
16 Tb 0.000 0.000 0.000